No. 1
A relaxed structure of Tl2BiPb2. Source: the Alexandria database, functional GGA-PBE.

Properties
The calculation puts the energy above the most stable polymorph in this dataset at 203.9 meV/atom. For the calculated volume, the calculation gives 33.828 Å³/atom. As for the density of states at the Fermi level: 0.6394 states/eV per atom. The calculated total energy is -0.2210 Ry/atom. For the total moment, the calculation gives 0.0 μB/f.u. As for the energy of formation from the pure elements: 0.20 eV per atom.

extended XYZ file:
```
5
Lattice="-0.5985 2.7735 -3.4173 -2.2662 -3.1506 -2.1602 -8.7148 2.6151 0.7620" Properties=species:S:1:pos:R:3 pbc="T T T"
Bi 0.0000 0.0000 0.0000
Pb -6.2067 -0.3621 -2.0935
Pb -5.3728 2.6000 -2.7221
Tl -2.7874 0.3331 -2.1281
Tl -8.7921 1.9048 -2.6875
```



No. 2
A relaxed structure of ScCdSn. Source: the Alexandria database, functional GGA-PBE.

Properties
For the calculated volume, the calculation gives 22.755 Å³/atom. As for the density of states at the Fermi level: 0.5100 states/eV per atom. The calculated total energy is -0.2976 Ry/atom. For the total moment, the calculation gives 0.0 μB/f.u. As for the energy of formation from the pure elements: -0.30 eV per atom.

extended XYZ file:
```
3
Lattice="-3.1801 0.7116 0.5962 -1.1672 -4.6952 -0.6215 1.1998 1.6490 4.4311" Properties=species:S:1:pos:R:3 pbc="T T T"
Sc -2.5029 -2.1050 1.4610
Cd -0.4727 0.1058 0.0886
Sn -0.1719 -0.3354 2.8562
```



No. 3
A relaxed structure of Sr3ZrSi. Source: the Alexandria database, functional GGA-PBE.

Properties
The calculation puts the energy above the most stable polymorph in this dataset at 0.0 meV/atom. For the calculated volume, the calculation gives 43.323 Å³/atom. Its formation energy without anion corrections is 0.524 eV per atom. As for the density of states at the Fermi level: 2.1460 states/eV per atom. The calculated total energy is -0.2410 Ry/atom. For the total moment, the calculation gives 3.9 μB/f.u.

extended XYZ file:
```
5
Lattice="6.0057 0.0000 0.0000 0.0000 6.0057 0.0000 0.0000 0.0000 6.0057" Properties=species:S:1:pos:R:3 pbc="T T T"
Sr 0.0000 3.0029 0.0000
Sr 0.0000 0.0000 3.0029
Sr 3.0029 0.0000 0.0000
Si 0.0000 0.0000 0.0000
Zr 3.0029 3.0029 3.0029
```



calculated total energy of number 1 (Tl2BiPb2)? -0.2210 Ry/atom



Look up the calculated total energy of the first one. -0.2210 Ry/atom



What is the formula in the third record? Sr3ZrSi



Which formula does entry 2 have? ScCdSn